No. 1
Density functional theory data (GGA-PBE) for a relaxed structure of Li3HoNp2Te6.

Output
As for the formation energy from raw total energies: -11.35 eV per formula unit. The total magnetization is 0.667 μB/atom.

a = 7.564 Å, b = 7.564 Å, c = 7.483 Å
α = 99.69°, β = 99.69°, γ = 120.00°
Site moments in Bohr magnetons follow the coordinates.
Fractional coordinates of all 12 atoms:
Li 0.166 0.834 0.500  0.00
Li 0.834 0.166 0.500  0.00
Li 0.500 0.500 0.500  0.00
Ho 0.000 0.000 0.000  0.06
Np 0.333 0.667 0.000  3.99
Np 0.667 0.333 0.000  3.99
Te 0.914 0.584 0.742  -0.06
Te 0.756 0.756 0.257  -0.06
Te 0.086 0.416 0.258  -0.06
Te 0.584 0.914 0.742  -0.06
Te 0.244 0.244 0.743  -0.06
Te 0.416 0.086 0.258  -0.06

---

No. 2
Density functional theory data (GGA-PBE) for a relaxed structure of LiTiB.

Output
The total magnetization is 0.000 μB/atom. For the formation energy, the calculation gives 0.12 eV/atom.

a = 3.953 Å, b = 3.953 Å, c = 5.816 Å
α = 90.00°, β = 90.00°, γ = 90.00°
Fractional coordinates of all 6 atoms:
B 0.000 0.000 0.500
B 0.500 0.500 0.500
Li 0.000 0.500 0.811
Li 0.500 0.000 0.189
Ti 0.000 0.500 0.358
Ti 0.500 0.000 0.642

---

No. 3
Density functional theory data (GGA-PBE) for a relaxed structure of CoCu2Mo.

Output
The total magnetization is 0.128 μB/atom. For the formation energy, the calculation gives 0.31 eV/atom.

a = 2.686 Å, b = 4.231 Å, c = 4.502 Å
α = 90.00°, β = 90.00°, γ = 90.00°
Site moments in Bohr magnetons follow the coordinates.
Fractional coordinates of all 4 atoms:
Co 0.000 0.500 0.500  0.51
Cu 0.000 0.000 0.000  0.01
Cu 0.500 0.500 0.000  0.02
Mo 0.500 0.000 0.500  -0.01

---

No. 4
Density functional theory data (GGA-PBE) for a relaxed structure of YFeTe2.

Output
As for the formation energy from raw total energies: -1.46 eV per formula unit. The total magnetization is 0.751 μB/atom.

a = 5.152 Å, b = 5.152 Å, c = 5.152 Å
α = 60.00°, β = 60.00°, γ = 60.00°
Site moments in Bohr magnetons follow the coordinates.
Fractional coordinates of all 4 atoms:
Y 0.500 0.500 0.500  -0.01
Te 0.250 0.250 0.250  0.06
Te 0.750 0.750 0.750  0.06
Fe 0.000 0.000 0.000  2.89

---

No. 5
Density functional theory data (GGA-PBE) for a relaxed structure of YZr2W.

Output
The total magnetization is 0.000 μB/atom. For the formation energy, the calculation gives 0.30 eV/atom.

a = 4.979 Å, b = 4.979 Å, c = 4.979 Å
α = 60.00°, β = 60.00°, γ = 60.00°
Fractional coordinates of all 4 atoms:
Y 0.000 0.000 0.000
Zr 0.250 0.250 0.250
Zr 0.750 0.750 0.750
W 0.500 0.500 0.500

---

No. 6
Density functional theory data (GGA-PBE) for a relaxed structure of NaZrAlSe2.

Output
As for the formation energy from raw total energies: -0.10 eV per formula unit. The total magnetization is 0.018 μB/atom.

a = 5.203 Å, b = 5.998 Å, c = 5.203 Å
α = 90.00°, β = 90.00°, γ = 90.00°
Site moments in Bohr magnetons follow the coordinates.
Fractional coordinates of all 5 atoms:
Na 0.000 0.500 0.000  0.00
Se 0.000 0.000 0.500  0.00
Se 0.500 0.000 0.000  0.00
Zr 0.000 0.000 0.000  0.12
Al 0.500 0.500 0.500  -0.01

---

No. 7
Density functional theory data (GGA-PBE) for a relaxed structure of Zr5Co.

Output
The total magnetization is 0.000 μB/atom. For the formation energy, the calculation gives -0.04 eV/atom.

a = 3.300 Å, b = 5.061 Å, c = 7.919 Å
α = 108.64°, β = 90.00°, γ = 90.00°
Fractional coordinates of all 6 atoms:
Co 0.000 0.000 0.000
Zr 0.500 0.864 0.729
Zr 0.000 0.681 0.362
Zr 0.500 0.500 0.000
Zr 0.000 0.319 0.638
Zr 0.500 0.136 0.271

---

No. 8
Density functional theory data (GGA-PBE) for a relaxed structure of ReAg2CN.

Output
As for the formation energy from raw total energies: 12.64 eV per formula unit. The total magnetization is 0.000 μB/atom.

a = 5.146 Å, b = 3.799 Å, c = 5.146 Å
α = 90.00°, β = 90.00°, γ = 90.00°
Fractional coordinates of all 5 atoms:
Re 0.000 0.000 0.000
C 0.000 0.500 0.000
Ag 0.000 0.000 0.500
Ag 0.500 0.000 0.000
N 0.500 0.500 0.500

---

No. 9
Density functional theory data (GGA-PBE) for a relaxed structure of Pm5Nd4Er.

Output
The total magnetization is 0.000 μB/atom. For the formation energy, the calculation gives 0.02 eV/atom.

a = 3.660 Å, b = 3.660 Å, c = 25.729 Å
α = 90.00°, β = 90.00°, γ = 90.00°
Fractional coordinates of all 10 atoms:
Pm 0.500 0.500 0.096
Pm 0.500 0.500 0.298
Pm 0.500 0.500 0.500
Pm 0.500 0.500 0.702
Pm 0.500 0.500 0.904
Nd 0.000 0.000 0.197
Nd 0.000 0.000 0.399
Nd 0.000 0.000 0.601
Nd 0.000 0.000 0.803
Er 0.000 0.000 0.000

---

No. 10
Density functional theory data (GGA-PBE) for a relaxed structure of BeNi2P.

Output
The total magnetization is 0.000 μB/atom. For the formation energy, the calculation gives -0.33 eV/atom.

a = 4.338 Å, b = 4.338 Å, c = 4.338 Å
α = 135.04°, β = 135.07°, γ = 65.44°
Fractional coordinates of all 4 atoms:
Ni 0.000 0.000 0.000
Ni 0.750 0.250 0.500
Be 0.250 0.750 0.500
P 0.500 0.500 0.000

---

No. 11
Density functional theory data (GGA-PBE) for a relaxed structure of Li6As2Pt.

Output
The total magnetization is 0.000 μB/atom. For the formation energy, the calculation gives -0.52 eV/atom.

a = 4.058 Å, b = 4.700 Å, c = 8.248 Å
α = 105.69°, β = 90.00°, γ = 115.58°
Fractional coordinates of all 9 atoms:
Li 0.318 0.636 0.943
Li 0.682 0.364 0.057
Li 0.030 0.059 0.198
Li 0.678 0.357 0.408
Li 0.970 0.941 0.802
Li 0.322 0.643 0.592
As 0.641 0.281 0.720
As 0.359 0.719 0.280
Pt 0.000 0.000 0.500

---

No. 12
Density functional theory data (GGA-PBE) for a relaxed structure of TbZnGaAu2.

Output
The total magnetization is 0.000 μB/atom. For the formation energy, the calculation gives -0.48 eV/atom.

a = 5.594 Å, b = 5.512 Å, c = 7.272 Å
α = 112.27°, β = 90.00°, γ = 90.00°
Fractional coordinates of all 10 atoms:
Tb 0.231 0.750 0.500
Tb 0.769 0.250 0.500
Zn 0.500 0.750 0.000
Zn 0.500 0.250 0.000
Ga 0.000 0.000 0.000
Ga 0.000 0.500 0.000
Au 0.712 0.852 0.705
Au 0.712 0.648 0.295
Au 0.288 0.352 0.705
Au 0.288 0.148 0.295

---

No. 13
Density functional theory data (GGA-PBE) for a relaxed structure of BeTe2Mo.

Output
As for the formation energy from raw total energies: 0.37 eV per formula unit. The total magnetization is 0.000 μB/atom.

a = 3.308 Å, b = 3.308 Å, c = 8.036 Å
α = 90.00°, β = 90.00°, γ = 90.00°
Fractional coordinates of all 4 atoms:
Be 0.000 0.000 0.565
Mo 0.500 0.500 0.691
Te 0.000 0.000 0.888
Te 0.500 0.500 0.356

---

No. 14
Density functional theory data (GGA-PBE) for a relaxed structure of SrCd2Ag8.

Output
The total magnetization is 0.000 μB/atom. For the formation energy, the calculation gives 0.17 eV/atom.

a = 5.543 Å, b = 5.543 Å, c = 9.545 Å
α = 90.00°, β = 90.00°, γ = 90.00°
Fractional coordinates of all 11 atoms:
Sr 0.500 0.500 0.500
Cd 0.500 0.000 0.000
Cd 0.000 0.500 0.000
Ag 0.752 0.752 0.224
Ag 0.752 0.248 0.776
Ag 0.752 0.752 0.776
Ag 0.752 0.248 0.224
Ag 0.248 0.752 0.224
Ag 0.248 0.752 0.776
Ag 0.248 0.248 0.224
Ag 0.248 0.248 0.776

---

No. 15
Density functional theory data (GGA-PBE) for a relaxed structure of Ag2PtAu.

Output
The total magnetization is 0.000 μB/atom. For the formation energy, the calculation gives 0.00 eV/atom.

a = 9.729 Å, b = 9.729 Å, c = 9.729 Å
α = 16.97°, β = 16.97°, γ = 16.97°
Fractional coordinates of all 4 atoms:
Au 0.499 0.499 0.499
Ag 0.001 0.001 0.001
Ag 0.250 0.250 0.250
Pt 0.749 0.749 0.749

---

No. 16
Density functional theory data (GGA-PBE) for a relaxed structure of Tb2Ho3Tl4.

Output
The total magnetization is 0.000 μB/atom. For the formation energy, the calculation gives -0.20 eV/atom.

a = 7.164 Å, b = 9.273 Å, c = 8.779 Å
α = 90.00°, β = 114.08°, γ = 90.00°
Fractional coordinates of all 18 atoms:
Tb 0.110 0.570 0.221
Tb 0.890 0.430 0.779
Tb 0.390 0.070 0.779
Tb 0.610 0.930 0.221
Ho 0.000 0.000 0.000
Ho 0.500 0.500 0.000
Ho 0.539 0.750 0.577
Ho 0.961 0.250 0.423
Ho 0.461 0.250 0.423
Ho 0.039 0.750 0.577
Tl 0.730 0.750 0.960
Tl 0.770 0.250 0.040
Tl 0.270 0.250 0.040
Tl 0.230 0.750 0.960
Tl 0.190 0.961 0.381
Tl 0.810 0.039 0.619
Tl 0.310 0.461 0.619
Tl 0.690 0.539 0.381

---

No. 17
Density functional theory data (GGA-PBE) for a relaxed structure of Sc2SeO2.

Output
As for the formation energy from raw total energies: -14.32 eV per formula unit. The total magnetization is 0.000 μB/atom.

a = 3.633 Å, b = 3.633 Å, c = 6.257 Å
α = 73.12°, β = 73.12°, γ = 90.00°
Fractional coordinates of all 5 atoms:
Sc 0.340 0.340 0.321
Sc 0.660 0.660 0.679
O 0.750 0.250 0.500
O 0.250 0.750 0.500
Se 0.000 0.000 0.000

---

No. 18
Density functional theory data (GGA-PBE) for a relaxed structure of Ce2Ni3Ge4Os.

Output
The total magnetization is 0.046 μB/atom. For the formation energy, the calculation gives -0.62 eV/atom.

a = 4.139 Å, b = 4.139 Å, c = 9.867 Å
α = 90.00°, β = 90.00°, γ = 90.00°
Site moments in Bohr magnetons follow the coordinates.
Fractional coordinates of all 10 atoms:
Ce 0.500 0.000 0.247  0.20
Ce 0.000 0.500 0.753  0.20
Ni 0.000 0.000 0.500  -0.01
Ni 0.500 0.000 0.877  0.00
Ni 0.000 0.500 0.123  0.00
Ge 0.500 0.500 0.000  0.00
Ge 0.000 0.000 0.000  0.00
Ge 0.500 0.000 0.638  0.00
Ge 0.000 0.500 0.362  0.00
Os 0.500 0.500 0.500  0.00

---

No. 19
Density functional theory data (GGA-PBE) for a relaxed structure of Zn2CoOs.

Output
The total magnetization is 0.020 μB/atom. For the formation energy, the calculation gives 0.17 eV/atom.

a = 4.586 Å, b = 4.586 Å, c = 4.600 Å
α = 79.77°, β = 79.77°, γ = 33.80°
Site moments in Bohr magnetons follow the coordinates.
Fractional coordinates of all 4 atoms:
Co 0.495 0.495 0.518  0.07
Os 0.760 0.760 0.730  0.01
Zn 0.003 0.003 0.008  0.00
Zn 0.242 0.242 0.245  0.00

---

No. 20
Density functional theory data (GGA-PBE) for a relaxed structure of Nd3SiSeCl.

Output
As for the formation energy from raw total energies: -7.52 eV per formula unit. The total magnetization is 0.211 μB/atom.

a = 4.190 Å, b = 8.622 Å, c = 10.256 Å
α = 91.57°, β = 90.00°, γ = 90.00°
Site moments in Bohr magnetons follow the coordinates.
Fractional coordinates of all 12 atoms:
Nd 0.750 0.870 0.137  0.01
Nd 0.250 0.130 0.863  0.01
Nd 0.250 0.660 0.421  0.38
Nd 0.750 0.340 0.579  0.38
Nd 0.750 0.381 0.145  0.04
Nd 0.250 0.619 0.855  0.04
Si 0.250 0.627 0.145  0.01
Si 0.750 0.373 0.855  0.01
Se 0.250 0.126 0.155  0.01
Se 0.750 0.874 0.845  0.01
Cl 0.250 0.124 0.581  0.01
Cl 0.750 0.876 0.419  0.01

---

No. 21
Density functional theory data (GGA-PBE) for a relaxed structure of CrWAu.

Output
The total magnetization is 0.214 μB/atom. For the formation energy, the calculation gives 0.39 eV/atom.

a = 5.139 Å, b = 5.139 Å, c = 5.139 Å
α = 143.95°, β = 143.96°, γ = 51.89°
Site moments in Bohr magnetons follow the coordinates.
Fractional coordinates of all 3 atoms:
Au 0.997 0.997 0.000  0.01
Cr 0.314 0.314 0.000  0.87
W 0.689 0.689 0.000  -0.26

---

No. 22
Density functional theory data (GGA-PBE) for a relaxed structure of TmIn6Ag.

Output
The total magnetization is 0.000 μB/atom. For the formation energy, the calculation gives -0.11 eV/atom.

a = 4.804 Å, b = 6.593 Å, c = 6.593 Å
α = 72.09°, β = 90.00°, γ = 90.00°
Fractional coordinates of all 8 atoms:
Tm 0.500 0.000 0.000
In 0.000 0.707 0.293
In 0.000 0.293 0.707
In 0.000 0.784 0.784
In 0.000 0.216 0.216
In 0.500 0.500 0.000
In 0.500 0.000 0.500
Ag 0.500 0.500 0.500

---

No. 23
Density functional theory data (GGA-PBE) for a relaxed structure of Dy3Tl3SbSe8.

Output
As for the formation energy from raw total energies: -16.95 eV per formula unit. The total magnetization is 0.000 μB/atom.

a = 8.309 Å, b = 8.310 Å, c = 9.149 Å
α = 117.01°, β = 90.00°, γ = 120.00°
Fractional coordinates of all 15 atoms:
Dy 0.500 0.000 0.500
Dy 0.500 0.500 0.500
Dy 0.000 0.500 0.500
Tl 0.000 0.000 0.000
Tl 0.000 0.500 0.000
Tl 0.500 0.500 0.000
Sb 0.000 0.000 0.500
Se 0.265 0.530 0.295
Se 0.735 0.470 0.705
Se 0.769 0.537 0.299
Se 0.231 0.463 0.701
Se 0.769 0.030 0.299
Se 0.231 0.970 0.701
Se 0.262 0.030 0.299
Se 0.738 0.970 0.701

---

No. 24
Density functional theory data (GGA-PBE) for a relaxed structure of MnMo2Cl.

Output
As for the formation energy from raw total energies: 2.50 eV per formula unit. The total magnetization is 0.689 μB/atom.

a = 5.347 Å, b = 5.347 Å, c = 5.347 Å
α = 148.03°, β = 130.13°, γ = 60.47°
Site moments in Bohr magnetons follow the coordinates.
Fractional coordinates of all 4 atoms:
Cl 0.750 0.250 0.500  0.03
Mn 0.250 0.750 0.500  3.27
Mo 0.978 0.978 0.000  -0.29
Mo 0.522 0.522 0.000  -0.29

---

No. 25
Density functional theory data (GGA-PBE) for a relaxed structure of MgCoCu2.

Output
The total magnetization is 0.350 μB/atom. For the formation energy, the calculation gives 0.12 eV/atom.

a = 3.013 Å, b = 3.013 Å, c = 5.885 Å
α = 90.00°, β = 90.00°, γ = 90.00°
Site moments in Bohr magnetons follow the coordinates.
Fractional coordinates of all 4 atoms:
Co 0.500 0.500 0.750  1.44
Cu 0.000 0.000 0.969  0.03
Cu 0.000 0.000 0.531  0.03
Mg 0.500 0.500 0.250  -0.01

---

No. 26
Density functional theory data (GGA-PBE) for a relaxed structure of DyHoZnNi.

Output
The total magnetization is 0.000 μB/atom. For the formation energy, the calculation gives -0.36 eV/atom.

a = 4.895 Å, b = 4.895 Å, c = 4.895 Å
α = 60.00°, β = 60.00°, γ = 60.00°
Fractional coordinates of all 4 atoms:
Ni 0.250 0.250 0.250
Zn 0.750 0.750 0.750
Ho 0.500 0.500 0.500
Dy 0.000 0.000 0.000